No. 1
A plane-wave DFT calculation with PBE-GGA was carried out for a relaxed structure of MoPS3.

Properties
Its uncorrected energy is -5.16 eV per atom. The theoretical density comes out at 3.6 Mg/m³. The calculation puts the formation energy (no corrections) at 54 kJ per mole of atoms. The energy relative to the lowest polymorph listed for this composition comes out at 784.4 meV/atom.

Cell lengths 4.680, 4.680, 4.680 Å; angles 90.00, 90.00, 90.00 degrees
Positions (direct):
Mo 0.000 0.000 0.000
P 0.500 0.500 0.500
S 0.000 0.000 0.500
S 0.000 0.500 0.000
S 0.500 0.000 0.000

No. 2
A plane-wave DFT calculation with PBE-GGA was carried out for a relaxed structure of Ta5Ir4Pt2.

Properties
Its uncorrected energy is -10.17 eV per atom. The theoretical density comes out at 18.6 Mg/m³.

Cell lengths 6.387, 15.279, 3.768 Å; angles 90.00, 90.00, 90.00 degrees
Positions (direct):
Ta 0.000 0.000 0.000
Ta 0.110 0.414 0.000
Ta 0.195 0.188 0.000
Ta 0.305 0.688 0.000
Ta 0.390 0.914 0.000
Ta 0.500 0.500 0.000
Ta 0.610 0.086 0.000
Ta 0.695 0.312 0.000
Ta 0.805 0.812 0.000
Ta 0.890 0.586 0.000
Ir 0.097 0.874 0.500
Ir 0.197 0.546 0.500
Ir 0.303 0.046 0.500
Ir 0.403 0.374 0.500
Ir 0.597 0.626 0.500
Ir 0.697 0.954 0.500
Ir 0.803 0.454 0.500
Ir 0.903 0.126 0.500
Pt 0.006 0.294 0.500
Pt 0.494 0.794 0.500
Pt 0.506 0.206 0.500
Pt 0.994 0.706 0.500

No. 3
A plane-wave DFT calculation with PBE-GGA was carried out for a relaxed structure of BSeBr2O.

Properties
Its uncorrected energy is -2.60 eV per atom. The theoretical density comes out at 4.5 Mg/m³. The calculation puts the formation energy (no corrections) at 105 kJ per mole of atoms. The energy relative to the lowest polymorph listed for this composition comes out at 0.0 meV/atom.

Cell lengths 4.791, 4.791, 4.289 Å; angles 90.00, 90.00, 90.00 degrees
Positions (direct):
B 0.000 0.000 0.000
Se 0.000 0.000 0.500
Br 0.000 0.500 0.000
Br 0.500 0.000 0.000
O 0.500 0.500 0.500

No. 4
A plane-wave DFT calculation with PBE-GGA was carried out for a relaxed structure of Zn2HgTe.

Properties
Its uncorrected energy is -1.33 eV per atom. The theoretical density comes out at 8.5 Mg/m³. The calculation puts the formation energy (no corrections) at 16 kJ per mole of atoms. The energy relative to the lowest polymorph listed for this composition comes out at 193.4 meV/atom.

Cell lengths 4.832, 4.832, 3.845 Å; angles 90.00, 90.00, 90.00 degrees
Positions (direct):
Zn 0.000 0.500 0.000
Zn 0.500 0.000 0.000
Hg 0.000 0.000 0.500
Te 0.500 0.500 0.500

No. 5
A plane-wave DFT calculation with PBE-GGA was carried out for a relaxed structure of Li2LaIn2Hg2.

Properties
Its uncorrected energy is -2.46 eV per atom. The theoretical density comes out at 7.8 Mg/m³.

Cell lengths 8.757, 8.757, 8.757 Å; angles 31.84, 31.84, 31.84 degrees
Positions (direct):
Li 0.141 0.141 0.141
Li 0.859 0.859 0.859
La 0.000 0.000 0.000
In 0.260 0.260 0.260
In 0.740 0.740 0.740
Hg 0.438 0.438 0.438
Hg 0.562 0.562 0.562

No. 6
A plane-wave DFT calculation with PBE-GGA was carried out for a relaxed structure of KPW2.

Properties
Its uncorrected energy is -7.36 eV per atom. The theoretical density comes out at 9.8 Mg/m³. The energy relative to the lowest polymorph listed for this composition comes out at 319.0 meV/atom.

Cell lengths 6.167, 6.167, 6.167 Å; angles 155.13, 131.10, 55.62 degrees
Positions (direct):
K 0.000 0.000 0.000
P 0.500 0.500 0.000
W 0.300 0.800 0.500
W 0.700 0.200 0.500

No. 7
A plane-wave DFT calculation with PBE-GGA was carried out for a relaxed structure of LiMnPd2.

Properties
Its uncorrected energy is -5.39 eV per atom. The theoretical density comes out at 7.3 Mg/m³. The energy relative to the lowest polymorph listed for this composition comes out at 335.0 meV/atom.

Cell lengths 5.500, 5.500, 5.500 Å; angles 104.24, 104.24, 120.53 degrees
Positions (direct):
Li 0.000 0.000 0.000
Li 0.750 0.250 0.500
Mn 0.250 0.750 0.500
Mn 0.500 0.500 0.000
Pd 0.113 0.625 0.988
Pd 0.375 0.363 0.488
Pd 0.637 0.125 0.012
Pd 0.875 0.887 0.512

No. 8
A plane-wave DFT calculation with PBE-GGA was carried out for a relaxed structure of BaNi2Ir.

Properties
Its uncorrected energy is -5.67 eV per atom. The theoretical density comes out at 8.5 Mg/m³. The energy relative to the lowest polymorph listed for this composition comes out at 22.2 meV/atom.

Cell lengths 6.081, 6.081, 6.081 Å; angles 40.85, 40.85, 40.85 degrees
Positions (direct):
Ba 0.000 0.000 0.000
Ni 0.506 0.506 0.506
Ni 0.823 0.823 0.823
Ir 0.183 0.183 0.183

No. 9
A plane-wave DFT calculation with PBE-GGA was carried out for a relaxed structure of Li4Cd2Pb.

Properties
Its uncorrected energy is -1.97 eV per atom. The theoretical density comes out at 5.0 Mg/m³. The energy relative to the lowest polymorph listed for this composition comes out at 152.2 meV/atom.

Cell lengths 6.108, 6.108, 5.165 Å; angles 90.00, 90.00, 128.10 degrees
Positions (direct):
Li 0.127 0.873 0.000
Li 0.295 0.705 0.500
Li 0.705 0.295 0.500
Li 0.873 0.127 0.000
Cd 0.374 0.626 0.000
Cd 0.626 0.374 0.000
Pb 0.000 0.000 0.500

No. 10
A plane-wave DFT calculation with PBE-GGA was carried out for a relaxed structure of Sc4HSe2.

Properties
Its uncorrected energy is -5.91 eV per atom. The theoretical density comes out at 4.4 Mg/m³.

Cell lengths 8.516, 8.516, 8.516 Å; angles 153.02, 153.02, 38.52 degrees
Positions (direct):
Sc 0.000 0.500 0.500
Sc 0.177 0.177 0.000
Sc 0.500 0.000 0.500
Sc 0.823 0.823 0.000
H 0.500 0.500 0.000
Se 0.345 0.345 0.000
Se 0.655 0.655 0.000

No. 11
A plane-wave DFT calculation with PBE-GGA was carried out for a relaxed structure of PmPuAu4.

Properties
Its uncorrected energy is -5.98 eV per atom. The theoretical density comes out at 14.4 Mg/m³. The energy relative to the lowest polymorph listed for this composition comes out at 0.0 meV/atom.

Cell lengths 3.798, 5.381, 7.623 Å; angles 69.58, 75.64, 69.40 degrees
Positions (direct):
Pm 0.000 0.000 0.000
Pu 0.000 0.500 0.500
Au 0.333 0.001 0.334
Au 0.334 0.500 0.834
Au 0.666 0.500 0.166
Au 0.667 0.999 0.666

No. 12
A plane-wave DFT calculation with PBE-GGA was carried out for a relaxed structure of Na2AlAs2.

Properties
Its uncorrected energy is -3.51 eV per atom. The theoretical density comes out at 2.9 Mg/m³. The energy relative to the lowest polymorph listed for this composition comes out at 0.0 meV/atom.

Cell lengths 7.621, 7.621, 7.621 Å; angles 126.04, 73.52, 134.06 degrees
Positions (direct):
Na 0.144 0.152 0.296
Na 0.356 0.652 0.008
Na 0.644 0.348 0.992
Na 0.856 0.848 0.704
Al 0.250 0.750 0.500
Al 0.750 0.250 0.500
As 0.111 0.711 0.822
As 0.389 0.211 0.600
As 0.611 0.789 0.400
As 0.889 0.289 0.178